No. 1
Entry from Alexandria: NaEr3S4 after structural relaxation (PBE-GGA).

Structure (CIF):
```
data_NaEr3S4
_cell_length_a 5.4861
_cell_length_b 5.4861
_cell_length_c 5.4861
_cell_angle_alpha 90.00
_cell_angle_beta 90.00
_cell_angle_gamma 90.00
_symmetry_space_group_name_H-M 'P m -3 m'
_symmetry_Int_Tables_number 221
_symmetry_space_group_name_Hall '-P 4 2 3'
loop_
_atom_site_label
_atom_site_type_symbol
_atom_site_fract_x
_atom_site_fract_y
_atom_site_fract_z
_atom_site_occupancy
Na1 Na 0.0000 0.0000 0.0000 1
Er1 Er 0.0000 0.5000 0.5000 1
S1 S 0.0000 0.0000 0.5000 1
S2 S 0.5000 0.5000 0.5000 1
```

Summary:
The calculation puts the uncorrected formation energy at -1.9073 eV per atom. The raw total energy is -0.2149 Ha/atom. Its density of states at the Fermi level is 0.322 states/eV per atom.

***

No. 2
Entry from Alexandria: NaErS2 after structural relaxation (PBE-GGA).

Structure (CIF):
```
data_NaErS2
_cell_length_a 3.9500
_cell_length_b 3.9500
_cell_length_c 20.0288
_cell_angle_alpha 90.00
_cell_angle_beta 90.00
_cell_angle_gamma 120.00
_symmetry_space_group_name_H-M 'R -3 m'
_symmetry_Int_Tables_number 166
_symmetry_space_group_name_Hall '-R 3 2"'
loop_
_atom_site_label
_atom_site_type_symbol
_atom_site_fract_x
_atom_site_fract_y
_atom_site_fract_z
_atom_site_occupancy
Na1 Na 0.0000 0.0000 0.0000 1
Er1 Er 0.0000 0.0000 0.5000 1
S1 S 0.0000 0.0000 0.2417 1
```

Summary:
The calculation puts the uncorrected formation energy at -1.8542 eV per atom. The raw total energy is -0.1980 Ha/atom. Its density of states at the Fermi level is 0.000 states/eV per atom.

***

No. 3
Entry from Alexandria: Na4Er3SbS8 after structural relaxation (PBE-GGA).

Structure (CIF):
```
data_Na4Er3SbS8
_cell_length_a 7.9351
_cell_length_b 7.9351
_cell_length_c 20.0213
_cell_angle_alpha 90.00
_cell_angle_beta 90.00
_cell_angle_gamma 120.00
_symmetry_space_group_name_H-M 'R -3 m'
_symmetry_Int_Tables_number 166
_symmetry_space_group_name_Hall '-R 3 2"'
loop_
_atom_site_label
_atom_site_type_symbol
_atom_site_fract_x
_atom_site_fract_y
_atom_site_fract_z
_atom_site_occupancy
Na1 Na 0.0000 0.0000 0.0000 1
Na2 Na 0.0000 0.5000 0.0000 1
Er1 Er 0.0000 0.5000 0.5000 1
Sb1 Sb 0.0000 0.0000 0.5000 1
S1 S 0.0000 0.0000 0.2415 1
S2 S 0.0031 0.5016 0.7581 1
```

Summary:
The calculation puts the uncorrected formation energy at -1.5543 eV per atom. The raw total energy is -0.1860 Ha/atom. Its density of states at the Fermi level is 0.000 states/eV per atom.

***

No. 4
Entry from Alexandria: Na3Er3SbS8 after structural relaxation (PBE-GGA).

Structure (CIF):
```
data_Na3Er3SbS8
_cell_length_a 7.8515
_cell_length_b 7.8515
_cell_length_c 20.2115
_cell_angle_alpha 90.00
_cell_angle_beta 90.00
_cell_angle_gamma 120.00
_symmetry_space_group_name_H-M 'R -3 m'
_symmetry_Int_Tables_number 166
_symmetry_space_group_name_Hall '-R 3 2"'
loop_
_atom_site_label
_atom_site_type_symbol
_atom_site_fract_x
_atom_site_fract_y
_atom_site_fract_z
_atom_site_occupancy
Na1 Na 0.0000 0.5000 0.0000 1
Er1 Er 0.0000 0.5000 0.5000 1
Sb1 Sb 0.0000 0.0000 0.5000 1
S1 S 0.0000 0.0000 0.2412 1
S2 S 0.0088 0.5044 0.2397 1
```

Summary:
The calculation puts the uncorrected formation energy at -1.5032 eV per atom. The raw total energy is -0.1895 Ha/atom. Its density of states at the Fermi level is 0.090 states/eV per atom.

***

No. 5
Entry from Alexandria: Na3Er2SbS6 after structural relaxation (PBE-GGA).

Structure (CIF):
```
data_Na3Er2SbS6
_cell_length_a 6.8819
_cell_length_b 11.9206
_cell_length_c 7.0552
_cell_angle_alpha 90.00
_cell_angle_beta 108.97
_cell_angle_gamma 90.00
_symmetry_space_group_name_H-M 'C 1 2/m 1'
_symmetry_Int_Tables_number 12
loop_
_symmetry_equiv_pos_as_xyz
'x,y,z'
'-x,-y,-z'
'-x,y,-z'
'x,-y,z'
'x+1/2,y+1/2,z'
'-x+1/2,-y+1/2,-z'
'-x+1/2,y+1/2,-z'
'x+1/2,-y+1/2,z'
loop_
_atom_site_label
_atom_site_type_symbol
_atom_site_fract_x
_atom_site_fract_y
_atom_site_fract_z
_atom_site_occupancy
Na1 Na 0.0000 0.0000 0.0000 1
Na2 Na 0.0000 0.3365 0.0000 1
Er1 Er 0.0000 0.1670 0.5000 1
Sb1 Sb 0.0000 0.5000 0.5000 1
S1 S 0.2379 0.0000 0.7254 1
S2 S 0.2439 0.3315 0.7259 1
```

Summary:
The calculation puts the uncorrected formation energy at -1.4555 eV per atom. The raw total energy is -0.1820 Ha/atom. Its density of states at the Fermi level is 0.000 states/eV per atom.

***

No. 6
Entry from Alexandria: Na3ErSb2S6 after structural relaxation (PBE-GGA).

Structure (CIF):
```
data_Na3ErSb2S6
_cell_length_a 6.9064
_cell_length_b 11.9666
_cell_length_c 7.0831
_cell_angle_alpha 90.00
_cell_angle_beta 108.96
_cell_angle_gamma 90.00
_symmetry_space_group_name_H-M 'C 1 2/m 1'
_symmetry_Int_Tables_number 12
loop_
_symmetry_equiv_pos_as_xyz
'x,y,z'
'-x,-y,-z'
'-x,y,-z'
'x,-y,z'
'x+1/2,y+1/2,z'
'-x+1/2,-y+1/2,-z'
'-x+1/2,y+1/2,-z'
'x+1/2,-y+1/2,z'
loop_
_atom_site_label
_atom_site_type_symbol
_atom_site_fract_x
_atom_site_fract_y
_atom_site_fract_z
_atom_site_occupancy
Na1 Na 0.0000 0.0000 0.0000 1
Na2 Na 0.0000 0.3290 0.0000 1
Er1 Er 0.0000 0.5000 0.5000 1
Sb1 Sb 0.0000 0.1661 0.5000 1
S1 S 0.2403 0.3355 0.7275 1
S2 S 0.2468 0.0000 0.7282 1
```

Summary:
The calculation puts the uncorrected formation energy at -1.0527 eV per atom. The raw total energy is -0.1659 Ha/atom. Its density of states at the Fermi level is 0.000 states/eV per atom.